! Ac2Cd4In3, optimized geometry, DFT PBE; values from VASP
! raw total energy = -2.5188 eV/atom
! total magnetic moment = 0.000 μB per atom
! density of states at the Fermi level = 10.7 states/eV per cell
! symmetry = No. 64
! formation energy = -0.286 eV/atom
&SYSTEM
  ibrav = 0, nat = 18, ntyp = 3
/
ATOMIC_SPECIES
In 114.82 In.upf
Ac 227.00 Ac.upf
Cd 112.41 Cd.upf
ATOMIC_POSITIONS crystal
In 0.481 0.250 0.462
In 0.000 0.000 0.000
In 0.519 0.750 0.538
In 0.500 0.500 0.000
In 0.019 0.750 0.538
In 0.981 0.250 0.462
Ac 0.108 0.596 0.216
Ac 0.608 0.904 0.216
Ac 0.392 0.096 0.784
Ac 0.892 0.404 0.784
Cd 0.176 0.982 0.351
Cd 0.812 0.250 0.124
Cd 0.324 0.482 0.649
Cd 0.688 0.750 0.876
Cd 0.188 0.750 0.876
Cd 0.312 0.250 0.124
Cd 0.824 0.018 0.649
Cd 0.676 0.518 0.351
CELL_PARAMETERS angstrom
6.608 0.000 0.000
0.000 8.827 0.000
-3.304 0.000 8.635